First-principles (PBE) data for a relaxed structure of TiCuPt14, as listed in the Alexandria database.

Cell: 5.6181 5.6181 7.8179 Å, 90.00 90.00 90.00°
Element x y z (fractional)
Pt 0.6260 0.1240 0.2577
Pt 0.1241 0.1241 0.2577
Pt 0.6259 0.6259 0.7423
Pt 0.8750 0.3750 0.5000
Pt 0.1240 0.6260 0.2577
Pt 0.1240 0.6260 0.7423
Pt 0.1241 0.1241 0.7423
Pt 0.3750 0.8750 0.0000
Pt 0.3750 0.3750 0.0000
Pt 0.8750 0.3750 0.0000
Pt 0.6259 0.6259 0.2577
Pt 0.3750 0.8750 0.5000
Pt 0.8750 0.8750 0.0000
Pt 0.6260 0.1240 0.7423
Ti 0.8750 0.8750 0.5000
Cu 0.3750 0.3750 0.5000

Output
* final energy: -6.2977 eV/atom
* space group: P4/mmm
* volume: 246.8 Å³/cell
* D(E_F): 20.92 states/eV/f.u.
* total moment: 0.00 μB/cell


First-principles (PBE) data for a relaxed structure of TmTiCuPt, as listed in the Alexandria database.

Cell: 4.6574 4.6574 4.6574 Å, 60.00 60.00 60.00°
Each line ends with the local moment (μB).
Element x y z (fractional)
Ti 0.5000 0.5000 0.5000  0.59
Cu 0.7500 0.7500 0.7500  0.02
Pt 0.2500 0.2500 0.2500  -0.01
Tm 0.0000 0.0000 0.0000  0.07

Output
* final energy: -6.1723 eV/atom
* space group: F-43m
* volume: 71.4 Å³/cell
* D(E_F): 3.47 states/eV/f.u.
* total moment: 0.78 μB/cell


First-principles (PBE) data for a relaxed structure of TlCu4Pt, as listed in the Alexandria database.

Cell: 4.9645 4.9645 4.9645 Å, 60.00 60.00 60.00°
Element x y z (fractional)
Cu 0.8735 0.3755 0.3755
Cu 0.3755 0.8735 0.3755
Cu 0.3755 0.3755 0.8735
Cu 0.3755 0.3755 0.3755
Pt 0.7500 0.7500 0.7500
Tl 0.0000 0.0000 0.0000

Output
* final energy: -4.0351 eV/atom
* space group: F-43m
* volume: 86.5 Å³/cell
* D(E_F): 2.63 states/eV/f.u.
* total moment: 0.00 μB/cell


First-principles (PBE) data for a relaxed structure of TlCu2Pt2, as listed in the Alexandria database.

Cell: 7.4088 7.4088 2.9304 Å, 90.00 90.00 90.00°
Element x y z (fractional)
Pt 0.8307 0.3307 0.5000
Pt 0.1693 0.6693 0.5000
Pt 0.6693 0.8307 0.5000
Pt 0.3307 0.1693 0.5000
Cu 0.8764 0.6236 0.0000
Cu 0.1236 0.3764 0.0000
Cu 0.3764 0.8764 0.0000
Cu 0.6236 0.1236 0.0000
Tl 0.0000 0.0000 0.0000
Tl 0.5000 0.5000 0.0000

Output
* energy relative to the lowest polymorph listed for this composition: 0.035 eV per atom
* space group: P4/mbm
* volume: 160.8 Å³/cell
* D(E_F): 2.41 states/eV/f.u.
* total moment: 0.00 μB/cell


First-principles (PBE) data for a relaxed structure of Tl2CuPt, as listed in the Alexandria database.

Cell: 4.8182 4.8182 4.8182 Å, 60.00 60.00 60.00°
Element x y z (fractional)
Tl 0.2500 0.2500 0.2500
Tl 0.7500 0.7500 0.7500
Cu 0.0000 0.0000 0.0000
Pt 0.5000 0.5000 0.5000

Output
* energy relative to the lowest polymorph listed for this composition: 0.165 eV per atom
* space group: Fm-3m
* volume: 79.1 Å³/cell
* D(E_F): 1.76 states/eV/f.u.
* total moment: 0.00 μB/cell


First-principles (PBE) data for a relaxed structure of Tl2CuPt, as listed in the Alexandria database.

Cell: 3.7180 3.0691 7.6527 Å, 90.00 90.00 90.00°
Element x y z (fractional)
Tl 0.0000 0.0000 0.9408
Tl 0.5000 0.5000 0.3086
Cu 0.0000 0.0000 0.5562
Pt 0.5000 0.5000 0.6944

Output
* energy relative to the lowest polymorph listed for this composition: 0.014 eV per atom
* space group: Pmm2
* volume: 87.3 Å³/cell
* D(E_F): 0.90 states/eV/f.u.
* total moment: 0.00 μB/cell


First-principles (PBE) data for a relaxed structure of Tl2CuPt, as listed in the Alexandria database.

Cell: 4.8700 4.8700 4.8700 Å, 60.00 60.00 60.00°
Element x y z (fractional)
Cu 0.5000 0.5000 0.5000
Tl 0.0000 0.0000 0.0000
Tl 0.2500 0.2500 0.2500
Pt 0.7500 0.7500 0.7500

Output
* energy relative to the lowest polymorph listed for this composition: 0.233 eV per atom
* space group: F-43m
* volume: 81.7 Å³/cell
* D(E_F): 0.85 states/eV/f.u.
* total moment: 0.00 μB/cell


First-principles (PBE) data for a relaxed structure of Tl2CuPt, as listed in the Alexandria database.

Cell: 5.3356 5.3356 5.3356 Å, 133.27 133.27 68.23°
Element x y z (fractional)
Pt 0.7500 0.2500 0.5000
Tl 0.2500 0.7500 0.5000
Tl 0.0000 0.0000 0.0000
Cu 0.5000 0.5000 0.0000

Output
* energy relative to the lowest polymorph listed for this composition: 0.174 eV per atom
* space group: I-4m2
* volume: 79.1 Å³/cell
* D(E_F): 0.91 states/eV/f.u.
* total moment: 0.00 μB/cell


First-principles (PBE) data for a relaxed structure of Tl2CuPt, as listed in the Alexandria database.

Cell: 3.6114 3.5892 7.0818 Å, 59.52 90.00 90.00°
Element x y z (fractional)
Tl 0.0000 0.5013 0.4985
Tl 0.0000 0.9987 0.0015
Pt 0.5000 0.7500 0.7500
Cu 0.5000 0.2500 0.2500

Output
* energy relative to the lowest polymorph listed for this composition: 0.163 eV per atom
* space group: Pmmm
* volume: 79.1 Å³/cell
* D(E_F): 1.46 states/eV/f.u.
* total moment: 0.00 μB/cell


First-principles (PBE) data for a relaxed structure of Tl2CuPt, as listed in the Alexandria database.

Cell: 6.5100 6.5100 6.5100 Å, 38.38 38.38 38.38°
Element x y z (fractional)
Cu 0.4675 0.4675 0.4675
Pt 0.7834 0.7834 0.7834
Tl 0.0243 0.0243 0.0243
Tl 0.2249 0.2249 0.2249

Output
* energy relative to the lowest polymorph listed for this composition: 0.022 eV per atom
* space group: R3m
* volume: 95.5 Å³/cell
* D(E_F): 1.35 states/eV/f.u.
* total moment: 0.00 μB/cell


First-principles (PBE) data for a relaxed structure of TlCu2Pt2, as listed in the Alexandria database.

Cell: 3.8439 3.8439 6.5026 Å, 72.81 72.81 90.00°
Element x y z (fractional)
Pt 0.7500 0.2500 0.5000
Pt 0.2500 0.7500 0.5000
Cu 0.3976 0.3976 0.2048
Cu 0.6024 0.6024 0.7952
Tl 0.0000 0.0000 0.0000

Output
* energy relative to the lowest polymorph listed for this composition: 0.143 eV per atom
* space group: I4/mmm
* volume: 87.3 Å³/cell
* D(E_F): 3.01 states/eV/f.u.
* total moment: 0.00 μB/cell


First-principles (PBE) data for a relaxed structure of Tl2Cu2Pt, as listed in the Alexandria database.

Cell: 6.7753 6.7753 4.0728 Å, 90.00 90.00 90.00°
Element x y z (fractional)
Cu 0.3686 0.8686 0.0000
Cu 0.6314 0.1314 0.0000
Cu 0.8686 0.6314 0.0000
Cu 0.1314 0.3686 0.0000
Pt 0.5000 0.5000 0.0000
Pt 0.0000 0.0000 0.0000
Tl 0.1762 0.6762 0.5000
Tl 0.8238 0.3238 0.5000
Tl 0.3238 0.1762 0.5000
Tl 0.6762 0.8238 0.5000

Output
* final energy: -3.5935 eV/atom
* space group: P4/mbm
* volume: 187.0 Å³/cell
* D(E_F): 1.61 states/eV/f.u.
* total moment: 0.00 μB/cell


First-principles (PBE) data for a relaxed structure of Tl3CuPt, as listed in the Alexandria database.

Cell: 5.3634 5.3634 5.3634 Å, 90.00 90.00 90.00°
Element x y z (fractional)
Tl 0.5000 0.0000 0.0000
Tl 0.0000 0.5000 0.0000
Tl 0.0000 0.0000 0.5000
Cu 0.5000 0.5000 0.5000
Pt 0.0000 0.0000 0.0000

Output
* energy relative to the lowest polymorph listed for this composition: 0.000 eV per atom
* space group: Pm-3m
* volume: 154.3 Å³/cell
* D(E_F): 1.28 states/eV/f.u.
* total moment: 0.00 μB/cell


First-principles (PBE) data for a relaxed structure of TlCuPt3, as listed in the Alexandria database.

Cell: 4.6466 4.6466 4.6466 Å, 90.00 90.00 90.00°
Element x y z (fractional)
Tl 0.5000 0.5000 0.5000
Pt 0.0000 0.5000 0.0000
Pt 0.5000 0.0000 0.0000
Pt 0.0000 0.0000 0.5000
Cu 0.0000 0.0000 0.0000

Output
* energy relative to the lowest polymorph listed for this composition: 0.000 eV per atom
* space group: Pm-3m
* volume: 100.3 Å³/cell
* D(E_F): 3.30 states/eV/f.u.
* total moment: 0.00 μB/cell


First-principles (PBE) data for a relaxed structure of Tl2CuPt, as listed in the Alexandria database.

Cell: 7.3268 4.6507 3.7900 Å, 83.39 68.21 129.53°
Element x y z (fractional)
Tl 0.0000 0.0000 0.0000
Tl 0.5000 0.0000 0.5000
Cu 0.0000 0.5000 0.5000
Pt 0.5000 0.5000 0.0000

Output
* energy relative to the lowest polymorph listed for this composition: 0.174 eV per atom
* space group: C2/m
* volume: 80.6 Å³/cell
* D(E_F): 1.54 states/eV/f.u.
* total moment: 0.00 μB/cell


First-principles (PBE) data for a relaxed structure of Tl2CuPt, as listed in the Alexandria database.

Cell: 3.6217 3.6217 6.1459 Å, 90.00 90.00 96.55°
Element x y z (fractional)
Cu 0.5000 0.5000 0.2500
Tl 0.0000 0.0000 0.0017
Tl 0.0000 0.0000 0.4983
Pt 0.5000 0.5000 0.7500

Output
* energy relative to the lowest polymorph listed for this composition: 0.162 eV per atom
* space group: Cmmm
* volume: 80.1 Å³/cell
* D(E_F): 1.07 states/eV/f.u.
* total moment: 0.00 μB/cell


First-principles (PBE) data for a relaxed structure of TlCuPt3, as listed in the Alexandria database.

Cell: 5.0440 5.0440 5.0440 Å, 90.00 90.00 90.00°
Element x y z (fractional)
Pt 0.0000 0.5000 0.0000
Pt 0.5000 0.0000 0.0000
Pt 0.0000 0.0000 0.5000
Cu 0.5000 0.5000 0.5000
Tl 0.0000 0.0000 0.0000

Output
* energy relative to the lowest polymorph listed for this composition: 0.841 eV per atom
* space group: Pm-3m
* volume: 128.3 Å³/cell
* D(E_F): 2.25 states/eV/f.u.
* total moment: 0.00 μB/cell


First-principles (PBE) data for a relaxed structure of Tl2CuPt, as listed in the Alexandria database.

Cell: 4.6570 4.6570 3.6513 Å, 90.00 90.00 90.12°
Element x y z (fractional)
Tl 0.5000 0.5000 0.0000
Tl 0.0000 0.0000 0.0000
Pt 0.0000 0.5000 0.5000
Cu 0.5000 0.0000 0.5000

Output
* energy relative to the lowest polymorph listed for this composition: 0.185 eV per atom
* space group: Cmmm
* volume: 79.2 Å³/cell
* D(E_F): 1.35 states/eV/f.u.
* total moment: 0.00 μB/cell


First-principles (PBE) data for a relaxed structure of TlCu3Pt, as listed in the Alexandria database.

Cell: 4.7506 4.7506 4.7506 Å, 90.00 90.00 90.00°
Element x y z (fractional)
Cu 0.0000 0.0000 0.5000
Cu 0.0000 0.5000 0.0000
Cu 0.5000 0.0000 0.0000
Pt 0.5000 0.5000 0.5000
Tl 0.0000 0.0000 0.0000

Output
* energy relative to the lowest polymorph listed for this composition: 0.706 eV per atom
* space group: Pm-3m
* volume: 107.2 Å³/cell
* D(E_F): 1.80 states/eV/f.u.
* total moment: 0.00 μB/cell


First-principles (PBE) data for a relaxed structure of TlCu3Pt, as listed in the Alexandria database.

Cell: 4.7818 4.7818 4.7818 Å, 90.00 90.00 90.00°
Element x y z (fractional)
Cu 0.0000 0.5000 0.0000
Cu 0.0000 0.0000 0.5000
Cu 0.5000 0.0000 0.0000
Pt 0.0000 0.0000 0.0000
Tl 0.5000 0.5000 0.5000

Output
* energy relative to the lowest polymorph listed for this composition: 0.000 eV per atom
* space group: Pm-3m
* volume: 109.3 Å³/cell
* D(E_F): 2.92 states/eV/f.u.
* total moment: 0.00 μB/cell


First-principles (PBE) data for a relaxed structure of Tl2CuPt, as listed in the Alexandria database.

Cell: 4.3930 4.3930 9.7354 Å, 76.96 76.96 90.00°
Element x y z (fractional)
Tl 0.3750 0.3809 0.7500
Tl 0.8750 0.8691 0.7500
Tl 0.1309 0.6250 0.2500
Tl 0.6191 0.1250 0.2500
Cu 0.2500 0.7500 0.5000
Cu 0.5000 0.5000 0.0000
Pt 0.0000 0.0000 0.0000
Pt 0.7500 0.2500 0.5000

Output
* energy relative to the lowest polymorph listed for this composition: 0.278 eV per atom
* space group: I-42d
* volume: 178.1 Å³/cell
* D(E_F): 1.59 states/eV/f.u.
* total moment: 0.00 μB/cell


First-principles (PBE) data for a relaxed structure of Tl4CuPt, as listed in the Alexandria database.

Cell: 6.1636 6.1636 6.1636 Å, 60.00 60.00 60.00°
Element x y z (fractional)
Tl 0.3747 0.8760 0.3747
Tl 0.3747 0.3747 0.8760
Tl 0.3747 0.3747 0.3747
Tl 0.8760 0.3747 0.3747
Cu 0.7500 0.7500 0.7500
Pt 0.0000 0.0000 0.0000

Output
* final energy: -2.5651 eV/atom
* space group: F-43m
* volume: 165.6 Å³/cell
* D(E_F): 2.80 states/eV/f.u.
* total moment: 0.00 μB/cell


First-principles (PBE) data for a relaxed structure of Tl2CuPt, as listed in the Alexandria database.

Cell: 6.2918 6.2918 6.2918 Å, 150.36 137.72 52.48°
Element x y z (fractional)
Pt 0.7039 0.2039 0.5000
Tl 0.2796 0.7796 0.5000
Tl 0.9938 0.9938 0.0000
Cu 0.5227 0.5227 0.0000

Output
* energy relative to the lowest polymorph listed for this composition: 0.089 eV per atom
* space group: Imm2
* volume: 82.4 Å³/cell
* D(E_F): 1.48 states/eV/f.u.
* total moment: 0.00 μB/cell


First-principles (PBE) data for a relaxed structure of TlCu2Pt2, as listed in the Alexandria database.

Cell: 7.4230 7.4230 2.9611 Å, 90.00 90.00 90.00°
Element x y z (fractional)
Pt 0.8656 0.6344 0.0000
Pt 0.3656 0.8656 0.0000
Pt 0.6344 0.1344 0.0000
Pt 0.1344 0.3656 0.0000
Tl 0.5000 0.5000 0.0000
Tl 0.0000 0.0000 0.0000
Cu 0.1608 0.6608 0.5000
Cu 0.8392 0.3392 0.5000
Cu 0.3392 0.1608 0.5000
Cu 0.6608 0.8392 0.5000

Output
* energy relative to the lowest polymorph listed for this composition: 0.000 eV per atom
* space group: P4/mbm
* volume: 163.2 Å³/cell
* D(E_F): 2.08 states/eV/f.u.
* total moment: 0.00 μB/cell


First-principles (PBE) data for a relaxed structure of Tl2CuPt, as listed in the Alexandria database.

Cell: 4.1632 3.9207 5.4797 Å, 69.40 90.00 90.00°
Element x y z (fractional)
Tl 0.0000 0.9733 0.9293
Tl 0.5000 0.2715 0.3320
Cu 0.0000 0.7009 0.4717
Pt 0.5000 0.5544 0.7669

Output
* energy relative to the lowest polymorph listed for this composition: 0.000 eV per atom
* space group: Pm
* volume: 83.7 Å³/cell
* D(E_F): 1.55 states/eV/f.u.
* total moment: 0.00 μB/cell


First-principles (PBE) data for a relaxed structure of TlCu2Pt2, as listed in the Alexandria database.

Cell: 3.7033 3.7033 6.7891 Å, 74.17 74.17 90.00°
Element x y z (fractional)
Cu 0.2500 0.7500 0.5000
Cu 0.7500 0.2500 0.5000
Pt 0.3914 0.3914 0.2171
Pt 0.6086 0.6086 0.7829
Tl 0.0000 0.0000 0.0000

Output
* energy relative to the lowest polymorph listed for this composition: 0.095 eV per atom
* space group: I4/mmm
* volume: 85.9 Å³/cell
* D(E_F): 2.19 states/eV/f.u.
* total moment: 0.00 μB/cell


First-principles (PBE) data for a relaxed structure of TmTlCuPt, as listed in the Alexandria database.

Cell: 4.7805 4.7805 4.7805 Å, 60.00 60.00 60.00°
Element x y z (fractional)
Tm 0.0000 0.0000 0.0000
Cu 0.2500 0.2500 0.2500
Tl 0.5000 0.5000 0.5000
Pt 0.7500 0.7500 0.7500

Output
* final energy: -4.7085 eV/atom
* space group: F-43m
* volume: 77.3 Å³/cell
* D(E_F): 2.28 states/eV/f.u.
* total moment: 0.00 μB/cell


First-principles (PBE) data for a relaxed structure of YTlCuPt, as listed in the Alexandria database.

Cell: 4.8262 4.8262 4.8262 Å, 60.00 60.00 60.00°
Element x y z (fractional)
Y 0.0000 0.0000 0.0000
Pt 0.7500 0.7500 0.7500
Tl 0.5000 0.5000 0.5000
Cu 0.2500 0.2500 0.2500

Output
* final energy: -5.1941 eV/atom
* space group: F-43m
* volume: 79.5 Å³/cell
* D(E_F): 2.26 states/eV/f.u.
* total moment: 0.00 μB/cell